This record from the Alexandria database describes ScCr2F8 after structural relaxation. The functional is GGA+U.

Cell lengths 4.390, 5.876, 6.911 Å; angles 126.03, 90.00, 91.97 degrees
Last column: magnetic moment on the atom in μB.
Positions (direct):
1 F 0.237 0.210 0.321  0.00
2 F 0.744 0.345 0.173  0.00
3 F 0.249 0.817 0.409  -0.03
4 F 0.763 0.790 0.679  0.00
5 F 0.751 0.183 0.591  -0.03
6 F 0.256 0.655 0.827  0.00
7 F 0.763 0.790 0.111  0.00
8 F 0.237 0.210 0.889  0.00
9 Sc 0.000 0.000 0.000  0.01
10 Cr 0.255 0.243 0.622  3.41
11 Cr 0.745 0.757 0.378  3.41

Summary:
- total DFT energy (no corrections) (Ry/atom) = -0.4676
- calculated volume (Å³ per atom) = 13.1
- symmetry = C2/m